[1]
# LiZn4Pd PBE-GGA relaxed
# ΔE_f, eV/f.u.: -1.87
# Crystal system: monoclinic
# ρ, Mg/m³: 7.19
# ΔE to the lowest computed polymorph, meV per atom: 0.0
data_LiZn4Pd
_cell_length_a 4.151
_cell_length_b 6.830
_cell_length_c 6.436
_cell_angle_alpha 90.00
_cell_angle_beta 108.37
_cell_angle_gamma 90.00
_symmetry_space_group_name_H-M 'P 1 21/m 1'
_symmetry_Int_Tables_number 11
loop_
_symmetry_equiv_pos_as_xyz
'x,y,z'
'-x,-y,-z'
'-x,y+1/2,-z'
'x,-y+1/2,z'
loop_
_atom_site_label
_atom_site_fract_x
_atom_site_fract_y
_atom_site_fract_z
Li1 0.168 0.250 0.338
Zn1 0.000 0.000 0.000
Zn2 0.331 0.505 0.660
Zn3 0.494 0.250 0.991
Pd1 0.160 0.750 0.322


[2]
# Li5Zn8Pd PBE-GGA relaxed
# ΔE_f, eV/f.u.: -1.49
# Crystal system: tetragonal
# ρ, Mg/m³: 5.03
data_Li5Zn8Pd
_cell_length_a 7.696
_cell_length_b 7.696
_cell_length_c 7.409
_cell_angle_alpha 90.00
_cell_angle_beta 90.00
_cell_angle_gamma 90.00
_symmetry_space_group_name_H-M 'I -4'
_symmetry_Int_Tables_number 82
loop_
_symmetry_equiv_pos_as_xyz
'x,y,z'
'y,-x,-z'
'-x,-y,z'
'-y,x,-z'
'x+1/2,y+1/2,z+1/2'
'y+1/2,-x+1/2,-z+1/2'
'-x+1/2,-y+1/2,z+1/2'
'-y+1/2,x+1/2,-z+1/2'
loop_
_atom_site_label
_atom_site_fract_x
_atom_site_fract_y
_atom_site_fract_z
Li1 0.000 0.000 0.000
Li2 0.108 0.809 0.399
Zn1 0.058 0.660 0.073
Zn2 0.125 0.811 0.748
Pd1 0.000 0.500 0.750


[3]
# LiZn6Pd2 PBE-GGA relaxed
# ΔE_f, eV/f.u.: -3.08
# Crystal system: monoclinic
# ρ, Mg/m³: 7.86
# ΔE to the lowest computed polymorph, meV per atom: 0.0
data_LiZn6Pd2
_cell_length_a 7.478
_cell_length_b 4.312
_cell_length_c 8.019
_cell_angle_alpha 90.00
_cell_angle_beta 90.08
_cell_angle_gamma 90.00
_symmetry_space_group_name_H-M 'C 1 2/m 1'
_symmetry_Int_Tables_number 12
loop_
_symmetry_equiv_pos_as_xyz
'x,y,z'
'-x,-y,-z'
'-x,y,-z'
'x,-y,z'
'x+1/2,y+1/2,z'
'-x+1/2,-y+1/2,-z'
'-x+1/2,y+1/2,-z'
'x+1/2,-y+1/2,z'
loop_
_atom_site_label
_atom_site_fract_x
_atom_site_fract_y
_atom_site_fract_z
Li1 0.000 0.000 0.000
Zn1 0.000 0.000 0.328
Zn2 0.167 0.500 0.567
Zn3 0.167 0.500 0.902
Pd1 0.166 0.500 0.231


[4]
# Li3Zn7Pd2 PBE-GGA relaxed
# ΔE_f, eV/f.u.: -2.65
# Crystal system: orthorhombic
# ρ, Mg/m³: 6.00
data_Li3Zn7Pd2
_cell_length_a 4.341
_cell_length_b 19.915
_cell_length_c 4.429
_cell_angle_alpha 90.00
_cell_angle_beta 90.00
_cell_angle_gamma 90.00
_symmetry_space_group_name_H-M 'C m m m'
_symmetry_Int_Tables_number 65
_symmetry_space_group_name_Hall '-C 2 2'
loop_
_atom_site_label
_atom_site_fract_x
_atom_site_fract_y
_atom_site_fract_z
Li1 0.000 0.000 0.000
Li2 0.000 0.159 0.000
Zn1 0.000 0.076 0.500
Zn2 0.000 0.221 0.500
Zn3 0.000 0.422 0.000
Zn4 0.000 0.500 0.500
Pd1 0.000 0.352 0.500


Number 4 is which compound?
Li3Zn7Pd2


Look up the ΔE_f of the third one.
-3.08 eV/f.u.


What is the ΔE_f in the third record?
-3.08 eV/f.u.


Repeat the second record exactly.
# Li5Zn8Pd PBE-GGA relaxed
# ΔE_f, eV/f.u.: -1.49
# Crystal system: tetragonal
# ρ, Mg/m³: 5.03
data_Li5Zn8Pd
_cell_length_a 7.696
_cell_length_b 7.696
_cell_length_c 7.409
_cell_angle_alpha 90.00
_cell_angle_beta 90.00
_cell_angle_gamma 90.00
_symmetry_space_group_name_H-M 'I -4'
_symmetry_Int_Tables_number 82
loop_
_symmetry_equiv_pos_as_xyz
'x,y,z'
'y,-x,-z'
'-x,-y,z'
'-y,x,-z'
'x+1/2,y+1/2,z+1/2'
'y+1/2,-x+1/2,-z+1/2'
'-x+1/2,-y+1/2,z+1/2'
'-y+1/2,x+1/2,-z+1/2'
loop_
_atom_site_label
_atom_site_fract_x
_atom_site_fract_y
_atom_site_fract_z
Li1 0.000 0.000 0.000
Li2 0.108 0.809 0.399
Zn1 0.058 0.660 0.073
Zn2 0.125 0.811 0.748
Pd1 0.000 0.500 0.750